# 1
## Ac2MgIn4Ag3 (PBE-GGA)

Data for a relaxed structure of Ac2MgIn4Ag3.

Properties
DFT formation energy in meV per atom: -329
Density of states at the Fermi level in states/eV/f.u.: 6.85

a b c (Å): 4.676 4.676 12.071
angles (deg): 90.00 90.00 90.00
Atoms (fractional coordinates):
Ac  0.000  0.500  0.753
Ag  0.000  0.000  0.500
Ag  0.000  0.500  0.135
In  0.000  0.500  0.362
Ag  0.500  0.000  0.865
In  0.500  0.000  0.638
Mg  0.500  0.500  0.500
In  0.000  0.000  0.000
In  0.500  0.500  0.000
Ac  0.500  0.000  0.247

---

# 2
## Ac2Mg4InAg3 (PBE-GGA)

Data for a relaxed structure of Ac2Mg4InAg3.

Properties
DFT formation energy in meV per atom: -228
Density of states at the Fermi level in states/eV/f.u.: 7.00

a b c (Å): 4.691 4.691 11.827
angles (deg): 90.00 90.00 90.00
Atoms (fractional coordinates):
Mg  0.000  0.000  0.000
Ac  0.500  0.000  0.253
Mg  0.000  0.500  0.364
Ag  0.000  0.500  0.134
Ac  0.000  0.500  0.747
Mg  0.500  0.500  0.000
Ag  0.500  0.000  0.866
In  0.500  0.500  0.500
Ag  0.000  0.000  0.500
Mg  0.500  0.000  0.636

---

# 3
## Ac2MgIn6Ag (PBE-GGA)

Data for a relaxed structure of Ac2MgIn6Ag.

Properties
DFT formation energy in meV per atom: -210
Density of states at the Fermi level in states/eV/f.u.: 4.79

a b c (Å): 7.198 7.198 13.550
angles (deg): 74.60 74.60 60.00
Atoms (fractional coordinates):
Mg  0.427  0.427  0.718
Mg  0.573  0.573  0.282
In  0.929  0.334  0.403
In  0.776  0.776  0.106
Ac  0.283  0.283  0.152
In  0.776  0.342  0.106
In  0.342  0.776  0.106
Ag  0.500  0.500  0.500
In  0.666  0.666  0.597
In  0.071  0.666  0.597
Ac  0.717  0.717  0.848
In  0.334  0.334  0.403
In  0.666  0.071  0.597
Ac  0.892  0.892  0.324
Ag  0.000  0.000  0.000
In  0.224  0.224  0.894
In  0.224  0.658  0.894
Ac  0.108  0.108  0.676
In  0.334  0.929  0.403
In  0.658  0.224  0.894

---

# 4
## AcMgIn2Ag5 (PBE-GGA)

Data for a relaxed structure of AcMgIn2Ag5.

Properties
DFT formation energy in meV per atom: 30
Density of states at the Fermi level in states/eV/f.u.: 3.83

a b c (Å): 5.202 5.202 8.280
angles (deg): 90.00 90.00 90.00
Atoms (fractional coordinates):
Ag  0.500  0.500  0.500
Ag  0.500  0.000  0.735
Ag  0.000  0.500  0.265
In  0.500  0.500  0.834
Mg  0.000  0.000  0.000
Ac  0.000  0.000  0.500
Ag  0.500  0.000  0.265
Ag  0.000  0.500  0.735
In  0.500  0.500  0.166

---

# 5
## AcMg2In2Ag2 (PBE-GGA)

Data for a relaxed structure of AcMg2In2Ag2.

Properties
DFT formation energy in meV per atom: -268
Density of states at the Fermi level in states/eV/f.u.: 3.45

a b c (Å): 4.751 4.751 9.318
angles (deg): 75.23 75.23 60.00
Atoms (fractional coordinates):
Ac  0.000  0.000  0.000
In  0.255  0.255  0.235
Ag  0.558  0.558  0.326
Mg  0.139  0.139  0.583
Ag  0.442  0.442  0.674
In  0.745  0.745  0.765
Mg  0.861  0.861  0.417

---

# 6
## AcMg2In4Ag (PBE-GGA)

Data for a relaxed structure of AcMg2In4Ag.

Properties
DFT formation energy in meV per atom: -193
Density of states at the Fermi level in states/eV/f.u.: 2.88

a b c (Å): 5.033 5.033 9.933
angles (deg): 75.32 75.32 60.00
Atoms (fractional coordinates):
In  0.397  0.397  0.809
Mg  0.754  0.754  0.738
In  0.868  0.868  0.397
Ag  0.500  0.500  0.500
In  0.132  0.132  0.603
In  0.603  0.603  0.191
Mg  0.246  0.246  0.262
Ac  0.000  0.000  0.000

---

# 7
## Ac2Mg6InAg (PBE-GGA)

Data for a relaxed structure of Ac2Mg6InAg.

Properties
DFT formation energy in meV per atom: -64
Density of states at the Fermi level in states/eV/f.u.: 8.91

a b c (Å): 7.840 7.433 9.963
angles (deg): 90.00 90.00 90.00
Atoms (fractional coordinates):
Mg  0.820  0.531  0.000
Ag  0.000  0.560  0.500
In  0.500  0.092  0.500
Mg  0.806  0.882  0.500
Mg  0.306  0.118  0.000
Mg  0.500  0.286  0.752
Mg  0.320  0.469  0.500
Ac  0.500  0.779  0.226
Mg  0.194  0.882  0.500
Mg  0.000  0.714  0.252
Mg  0.500  0.286  0.248
Mg  0.694  0.118  0.000
Ac  0.000  0.221  0.274
Ac  0.000  0.221  0.726
Mg  0.680  0.469  0.500
Mg  0.000  0.714  0.748
Ag  0.500  0.440  0.000
Mg  0.180  0.531  0.000
Ac  0.500  0.779  0.774
In  0.000  0.908  0.000

---

# 8
## Ac2Mg3In4Ag (PBE-GGA)

Data for a relaxed structure of Ac2Mg3In4Ag.

Properties
DFT formation energy in meV per atom: -303
Density of states at the Fermi level in states/eV/f.u.: 5.23

a b c (Å): 4.782 4.782 11.950
angles (deg): 90.00 90.00 90.00
Atoms (fractional coordinates):
Mg  0.000  0.500  0.139
In  0.000  0.500  0.369
Ac  0.000  0.500  0.745
Ac  0.500  0.000  0.255
In  0.500  0.500  0.000
Mg  0.000  0.000  0.500
In  0.500  0.000  0.631
Mg  0.500  0.000  0.861
Ag  0.500  0.500  0.500
In  0.000  0.000  0.000

---

# 9
## AcMgInAg2 (PBE-GGA)

Data for a relaxed structure of AcMgInAg2.

Properties
DFT formation energy in meV per atom: -308
Density of states at the Fermi level in states/eV/f.u.: 3.05

a b c (Å): 4.432 4.432 7.211
angles (deg): 107.90 107.90 90.00
Atoms (fractional coordinates):
Mg  0.250  0.750  0.500
Ag  0.608  0.608  0.216
Ag  0.392  0.392  0.784
Ac  0.000  0.000  0.000
In  0.750  0.250  0.500

---

# 10
## AcMgIn4Ag2 (PBE-GGA)

Data for a relaxed structure of AcMgIn4Ag2.

Properties
DFT formation energy in meV per atom: -176
Density of states at the Fermi level in states/eV/f.u.: 3.22

a b c (Å): 4.887 4.887 10.173
angles (deg): 76.10 76.10 60.00
Atoms (fractional coordinates):
Mg  0.500  0.500  0.500
In  0.126  0.126  0.621
Ac  0.000  0.000  0.000
Ag  0.761  0.761  0.717
In  0.602  0.602  0.193
In  0.874  0.874  0.379
In  0.398  0.398  0.807
Ag  0.239  0.239  0.283

---

# 11
## AcMg2InAg4 (PBE-GGA)

Data for a relaxed structure of AcMg2InAg4.

Properties
DFT formation energy in meV per atom: -185
Density of states at the Fermi level in states/eV/f.u.: 4.47

a b c (Å): 4.736 4.736 9.947
angles (deg): 76.23 76.23 60.00
Atoms (fractional coordinates):
Ag  0.599  0.599  0.202
Ag  0.874  0.874  0.378
Ag  0.126  0.126  0.622
Ag  0.401  0.401  0.798
Mg  0.762  0.762  0.713
Mg  0.238  0.238  0.287
In  0.500  0.500  0.500
Ac  0.000  0.000  0.000

---

# 12
## AcMgIn2Ag4 (PBE-GGA)

Data for a relaxed structure of AcMgIn2Ag4.

Properties
DFT formation energy in meV per atom: -224
Density of states at the Fermi level in states/eV/f.u.: 4.60

a b c (Å): 4.771 4.771 9.747
angles (deg): 75.83 75.83 60.00
Atoms (fractional coordinates):
Ag  0.863  0.863  0.410
Ac  0.000  0.000  0.000
In  0.756  0.756  0.732
Ag  0.137  0.137  0.590
Ag  0.599  0.599  0.202
Mg  0.500  0.500  0.500
Ag  0.401  0.401  0.798
In  0.244  0.244  0.268

---

The lowest DFT formation energy belongs to which entry? Ac2MgIn4Ag3